## Al2O (PBE-GGA)

Data for a relaxed structure of Al2O.

Cell: 3.0396 12.9714 4.5404 Å, 90.00 90.00 90.00°
Last column: nearest neighbours and their distance in Å.
Atoms (fractional coordinates):
Al 0.0000 0.6831 0.9684  3 O 1.83-1.84
Al 0.0000 0.3169 0.9684  3 O 1.83-1.84
Al 0.5000 0.1831 0.4684  3 O 1.83-1.84
Al 0.5000 0.8169 0.4684  3 O 1.83-1.84
Al 0.0000 0.0000 0.7018  8 Al 2.70-3.01, 2 O 3.02
Al 0.5000 0.5000 0.2018  8 Al 2.70-3.01, 2 O 3.02
Al 0.0000 0.5000 0.6934  6 Al 2.68-2.76
Al 0.5000 0.0000 0.1934  6 Al 2.68-2.76
O 0.0000 0.7681 0.6442  3 Al 1.83-1.84
O 0.0000 0.2319 0.6442  3 Al 1.83-1.84
O 0.5000 0.2681 0.1442  3 Al 1.83-1.84
O 0.5000 0.7319 0.1442  3 Al 1.83-1.84

Computed properties:
magnetic moment = 0.00 μB per formula unit
formation energy from raw total energies = -1.415 eV/atom
energy above the lowest structure with this stoichiometry = 0.037 eV/atom
DFT total energy = -66.7 eV per cell
calculated density = 2.6 g/cm³
Fermi-level density of states = 1.38 states/eV per cell

=====

## Mg3Cd7Ag2 (PBE-GGA)

Data for a relaxed structure of Mg3Cd7Ag2.

Cell: 4.9404 3.2652 17.1728 Å, 95.46 90.00 90.00°
Last column: nearest neighbours and their distance in Å.
Atoms (fractional coordinates):
Mg 0.5000 0.5000 0.0000  8 Cd 2.96-3.12, 2 Mg 3.27
Mg 0.5000 0.6548 0.3095  4 Ag 2.97, 4 Cd 3.09-3.22, 2 Mg 3.27
Mg 0.5000 0.3452 0.6905  4 Ag 2.97, 4 Cd 3.09-3.22, 2 Mg 3.27
Cd 0.0000 0.4248 0.8496  2 Ag 2.93, 8 Cd 2.96-3.27
Cd 0.0000 0.7151 0.4302  2 Ag 2.86, 2 Cd 2.89
Cd 0.0000 0.0000 0.0000  4 Mg 2.96, 6 Cd 3.05-3.27
Cd 0.0000 0.5752 0.1504  2 Ag 2.93, 8 Cd 2.96-3.27
Cd 0.5000 0.0779 0.1558  6 Cd 2.96-3.27, 4 Mg 3.09-3.12
Cd 0.5000 0.9221 0.8442  6 Cd 2.96-3.27, 4 Mg 3.09-3.12
Cd 0.0000 0.2849 0.5698  2 Ag 2.86, 2 Cd 2.89
Ag 0.0000 0.8536 0.7072  4 Cd 2.86-2.93, 4 Mg 2.97
Ag 0.0000 0.1464 0.2928  4 Cd 2.86-2.93, 4 Mg 2.97

Computed properties:
magnetic moment = 0.00 μB per formula unit
DFT total energy = -17.0 eV per cell
calculated density = 6.5 g/cm³
Fermi-level density of states = 3.51 states/eV per cell
formation enthalpy at 0 K = -0.1 eV per formula unit

=====

## Li3GaCo (PBE-GGA)

Data for a relaxed structure of Li3GaCo.

Cell: 4.6483 4.6483 4.6483 Å, 90.00 90.00 90.00°
Last column: nearest neighbours and their distance in Å.
Atoms (fractional coordinates):
Co 0.5000 0.5000 0.5000  12 Li 3.29
Ga 0.0000 0.0000 0.0000  6 Li 2.32
Li 0.0000 0.5000 0.0000  2 Ga 2.32
Li 0.0000 0.0000 0.5000  2 Ga 2.32
Li 0.5000 0.0000 0.0000  2 Ga 2.32

Computed properties:
magnetic moment = 1.84 μB per formula unit
energy above the lowest structure with this stoichiometry = 0.145 eV/atom
DFT total energy = -12.3 eV per cell
calculated density = 2.5 g/cm³
Fermi-level density of states = 5.71 states/eV per cell
formation enthalpy at 0 K = 3.6 eV per formula unit

=====

## YTmAlAg (PBE-GGA)

Data for a relaxed structure of YTmAlAg.

Cell: 5.1233 5.1233 5.1233 Å, 60.00 60.00 60.00°
Last column: nearest neighbours and their distance in Å.
Atoms (fractional coordinates):
Y 0.2500 0.2500 0.2500  4 Al 3.14, 4 Ag 3.14
Tm 0.7500 0.7500 0.7500  4 Ag 3.14, 4 Al 3.14
Al 0.0000 0.0000 0.0000  4 Tm 3.14, 4 Y 3.14
Ag 0.5000 0.5000 0.5000  4 Tm 3.14, 4 Y 3.14

Computed properties:
magnetic moment = 0.00 μB per formula unit
energy above the lowest structure with this stoichiometry = 0.016 eV/atom
DFT total energy = -19.0 eV per cell
calculated density = 6.9 g/cm³
Fermi-level density of states = 3.07 states/eV per cell
formation enthalpy at 0 K = -1.4 eV per formula unit

=====

## GaSn3I (PBE-GGA)

Data for a relaxed structure of GaSn3I.

Cell: 5.8996 5.8996 5.8996 Å, 90.00 90.00 90.00°
Last column: nearest neighbours and their distance in Å.
Atoms (fractional coordinates):
I 0.0000 0.0000 0.0000  6 Sn 2.95
Sn 0.0000 0.5000 0.0000  2 I 2.95
Sn 0.0000 0.0000 0.5000  2 I 2.95
Sn 0.5000 0.0000 0.0000  2 I 2.95
Ga 0.5000 0.5000 0.5000  12 Sn 4.17

Computed properties:
magnetic moment = 0.00 μB per formula unit
formation energy from raw total energies = 0.833 eV/atom
energy above the lowest structure with this stoichiometry = 0.494 eV/atom
DFT total energy = -12.4 eV per cell
calculated density = 4.5 g/cm³
Fermi-level density of states = 1.58 states/eV per cell

=====

## LiTa2Re (PBE-GGA)

Data for a relaxed structure of LiTa2Re.

Cell: 4.4780 4.4781 3.1952 Å, 90.00 90.00 90.00°
Last column: nearest neighbours and their distance in Å.
Atoms (fractional coordinates):
Li 0.5000 0.0000 0.5000  8 Ta 2.75
Re 0.0000 0.5000 0.5000  8 Ta 2.75
Ta 0.0000 0.0000 0.0000  4 Li 2.75, 4 Re 2.75
Ta 0.5000 0.5000 0.0000  4 Re 2.75, 4 Li 2.75

Computed properties:
magnetic moment = 0.00 μB per formula unit
DFT total energy = -37.9 eV per cell
calculated density = 14.4 g/cm³
Fermi-level density of states = 1.05 states/eV per cell
formation enthalpy at 0 K = 0.1 eV per formula unit

=====

## LiAc2Ga3Ir4 (PBE-GGA)

Data for a relaxed structure of LiAc2Ga3Ir4.

Cell: 4.2940 4.2940 10.7100 Å, 90.00 90.00 90.00°
Last column: nearest neighbours and their distance in Å.
Atoms (fractional coordinates):
Li 0.5000 0.5000 0.5000  4 Ir 2.62
Ac 0.5000 0.0000 0.2502  8 Ir 3.25-3.43, 6 Ga 3.34-3.43, 2 Li 3.43
Ac 0.0000 0.5000 0.7498  8 Ir 3.25-3.43, 6 Ga 3.34-3.43, 2 Li 3.43
Ga 0.0000 0.0000 0.5000  4 Ir 2.62
Ga 0.5000 0.0000 0.8790  5 Ir 2.51-2.55
Ga 0.0000 0.5000 0.1210  5 Ir 2.51-2.55
Ir 0.5000 0.5000 0.0000  4 Ga 2.51
Ir 0.0000 0.0000 0.0000  4 Ga 2.51
Ir 0.5000 0.0000 0.6407  3 Ga 2.55-2.62, 2 Li 2.62
Ir 0.0000 0.5000 0.3593  3 Ga 2.55-2.62, 2 Li 2.62

Computed properties:
magnetic moment = 0.00 μB per formula unit
DFT total energy = -61.0 eV per cell
calculated density = 12.1 g/cm³
Fermi-level density of states = 1.88 states/eV per cell
formation enthalpy at 0 K = -6.4 eV per formula unit

=====

## AcPm2NdBi4 (PBE-GGA)

Data for a relaxed structure of AcPm2NdBi4.

Cell: 4.6666 8.0787 8.0799 Å, 70.56 90.00 90.00°
Last column: nearest neighbours and their distance in Å.
Atoms (fractional coordinates):
Ac 0.0000 0.5000 0.5000  6 Bi 3.37
Pm 0.0000 0.0000 0.0000  6 Bi 3.23
Pm 0.5000 0.0000 0.5000  6 Bi 3.29
Nd 0.5000 0.5000 0.0000  6 Bi 3.31
Bi 0.0000 0.7566 0.7542  3 Pm 3.23-3.29, 2 Nd 3.31, 1 Ac 3.37
Bi 0.0000 0.2434 0.2458  3 Pm 3.23-3.29, 2 Nd 3.31, 1 Ac 3.37
Bi 0.5000 0.7616 0.2398  3 Pm 3.23-3.29, 1 Nd 3.31, 2 Ac 3.37
Bi 0.5000 0.2384 0.7602  3 Pm 3.23-3.29, 1 Nd 3.31, 2 Ac 3.37

Computed properties:
magnetic moment = 0.00 μB per formula unit
DFT total energy = -41.5 eV per cell
calculated density = 8.7 g/cm³
Fermi-level density of states = 1.05 states/eV per cell
formation enthalpy at 0 K = -7.6 eV per formula unit

=====

## Dy2HgH3 (PBE-GGA)

Data for a relaxed structure of Dy2HgH3.

Cell: 3.6705 6.4198 8.4242 Å, 109.62 90.00 106.61°
Last column: nearest neighbours and their distance in Å.
Atoms (fractional coordinates):
Dy 0.4794 0.9587 0.7832  4 H 2.08-2.22
Dy 0.5206 0.0413 0.2168  4 H 2.08-2.22
Dy 0.8346 0.6693 0.3879  7 H 2.10-2.32
Dy 0.1654 0.3307 0.6121  7 H 2.10-2.32
Hg 0.8299 0.6598 0.9440  1 H 2.91, 2 Hg 3.07, 4 Dy 3.21-3.22
Hg 0.1701 0.3402 0.0560  1 H 2.91, 2 Hg 3.07, 4 Dy 3.21-3.22
H 0.3268 0.6536 0.5477  4 Dy 2.20-2.30, 1 H 2.27
H 0.9832 0.9664 0.6374  4 Dy 2.22-2.32, 2 H 2.32
H 0.6051 0.2101 0.6708  3 Dy 2.08-2.10, 3 H 2.27-2.32
H 0.3949 0.7899 0.3292  3 Dy 2.08-2.10, 3 H 2.27-2.32
H 0.0168 0.0336 0.3626  4 Dy 2.22-2.32, 2 H 2.32
H 0.6732 0.3464 0.4523  4 Dy 2.20-2.30, 1 H 2.27

Computed properties:
magnetic moment = 0.00 μB per formula unit
DFT total energy = -46.1 eV per cell
calculated density = 9.9 g/cm³
Fermi-level density of states = 4.00 states/eV per cell

=====

## BaCd3InAg (PBE-GGA)

Data for a relaxed structure of BaCd3InAg.

Cell: 6.4205 7.3235 8.2190 Å, 116.46 90.00 90.00°
Last column: nearest neighbours and their distance in Å.
Atoms (fractional coordinates):
Ba 0.7500 0.2958 0.5916  1 In 3.30, 2 Ag 3.31, 4 Cd 3.69
Ba 0.2500 0.7042 0.4084  1 In 3.30, 2 Ag 3.31, 4 Cd 3.69
Cd 0.2500 0.1466 0.2933  1 Ag 2.98, 1 In 3.21
Cd 0.0000 0.3050 0.0000  1 Cd 2.86, 2 In 2.94, 2 Ag 3.09
Cd 0.5000 0.6950 0.0000  1 Cd 2.86, 2 In 2.94, 2 Ag 3.09
Cd 0.5000 0.3050 0.0000  1 Cd 2.86, 2 In 2.94, 2 Ag 3.09
Cd 0.0000 0.6950 0.0000  1 Cd 2.86, 2 In 2.94, 2 Ag 3.09
Cd 0.7500 0.8534 0.7067  1 Ag 2.98, 1 In 3.21
In 0.2500 0.9286 0.8571  5 Cd 2.94-3.21
In 0.7500 0.0714 0.1429  5 Cd 2.94-3.21
Ag 0.2500 0.3494 0.6987  5 Cd 2.98-3.09, 2 Ba 3.31
Ag 0.7500 0.6506 0.3013  5 Cd 2.98-3.09, 2 Ba 3.31

Computed properties:
magnetic moment = 0.00 μB per formula unit
DFT total energy = -21.7 eV per cell
calculated density = 6.7 g/cm³
Fermi-level density of states = 3.41 states/eV per cell
formation enthalpy at 0 K = -0.6 eV per formula unit

=====

## SrPuGeO6 (PBE-GGA)

Data for a relaxed structure of SrPuGeO6.

Cell: 5.3313 5.3313 10.8615 Å, 90.00 90.00 120.00°
Last column: nearest neighbours and their distance in Å.
Atoms (fractional coordinates):
Sr 0.0000 0.0000 0.0000  6 O 2.56
Sr 0.0000 0.0000 0.5000  6 O 2.56
Pu 0.3333 0.6667 0.2500  6 O 2.08
Pu 0.6667 0.3333 0.7500  6 O 2.08
Ge 0.6667 0.3333 0.2500  6 O 1.94
Ge 0.3333 0.6667 0.7500  6 O 1.94
O 0.6398 0.6198 0.1492  1 Ge 1.94, 1 Pu 2.08
O 0.9800 0.3602 0.1492  1 Ge 1.94, 1 Pu 2.08
O 0.3602 0.9800 0.6492  1 Ge 1.94, 1 Pu 2.08
O 0.0200 0.6398 0.8508  1 Ge 1.94, 1 Pu 2.08
O 0.3802 0.3602 0.3508  1 Ge 1.94, 1 Pu 2.08
O 0.9800 0.6198 0.3508  1 Ge 1.94, 1 Pu 2.08
O 0.6198 0.9800 0.8508  1 Ge 1.94, 1 Pu 2.08
O 0.6398 0.0200 0.3508  1 Ge 1.94, 1 Pu 2.08
O 0.0200 0.3802 0.6492  1 Ge 1.94, 1 Pu 2.08
O 0.3802 0.0200 0.1492  1 Ge 1.94, 1 Pu 2.08
O 0.6198 0.6398 0.6492  1 Ge 1.94, 1 Pu 2.08
O 0.3602 0.3802 0.8508  1 Ge 1.94, 1 Pu 2.08

Computed properties:
magnetic moment = 2.00 μB per formula unit
formation energy from raw total energies = -2.316 eV/atom
DFT total energy = -142.4 eV per cell
calculated density = 6.2 g/cm³
Fermi-level density of states = 12.18 states/eV per cell